No. 1
# LaTlCu, relaxed, DFT PBE
data_LaTlCu
_chemical_formula_sum 'La1 Tl1 Cu1'
_space_group_name_H-M_alt 'P -6 m 2'
_space_group_IT_number 187
_space_group_name_Hall 'P -6 2'
_cell_length_a 4.7883
_cell_length_b 4.7883
_cell_length_c 3.8291
_cell_angle_alpha 90.00
_cell_angle_beta 90.00
_cell_angle_gamma 120.00
loop_
_atom_site_label
_atom_site_type_symbol
_atom_site_fract_x
_atom_site_fract_y
_atom_site_fract_z
_atom_site_occupancy
La1 La 0.0000 0.0000 0.0000 1
Tl1 Tl 0.6667 0.3333 0.5000 1
Cu1 Cu 0.3333 0.6667 0.5000 1
# Crystal system ... hexagonal
# Raw total energy ... -12.14 eV for the cell shown


No. 2
# La2TlCu2, relaxed, DFT PBE
data_La2TlCu2
_chemical_formula_sum 'La4 Tl2 Cu4'
_space_group_name_H-M_alt 'I 4/m m m'
_space_group_IT_number 139
_space_group_name_Hall '-I 4 2'
_cell_length_a 3.6306
_cell_length_b 3.6306
_cell_length_c 19.0196
_cell_angle_alpha 90.00
_cell_angle_beta 90.00
_cell_angle_gamma 90.00
loop_
_atom_site_label
_atom_site_type_symbol
_atom_site_fract_x
_atom_site_fract_y
_atom_site_fract_z
_atom_site_occupancy
La1 La 0.0000 0.0000 0.1192 1
Tl1 Tl 0.0000 0.0000 0.5000 1
Cu1 Cu 0.0000 0.5000 0.2500 1
# Crystal system ... tetragonal
# Raw total energy ... -41.97 eV for the cell shown


No. 3
# La4TlCu2, relaxed, DFT PBE
data_La4TlCu2
_chemical_formula_sum 'La12 Tl3 Cu6'
_space_group_name_H-M_alt 'R -3 m'
_space_group_IT_number 166
_space_group_name_Hall '-R 3 2"'
_cell_length_a 5.1997
_cell_length_b 5.1997
_cell_length_c 27.0289
_cell_angle_alpha 90.00
_cell_angle_beta 90.00
_cell_angle_gamma 120.00
loop_
_atom_site_label
_atom_site_type_symbol
_atom_site_fract_x
_atom_site_fract_y
_atom_site_fract_z
_atom_site_occupancy
La1 La 0.0000 0.0000 0.1152 1
La2 La 0.0000 0.0000 0.2910 1
Tl1 Tl 0.0000 0.0000 0.5000 1
Cu1 Cu 0.0000 0.0000 0.3986 1
# Crystal system ... trigonal
# Raw total energy ... -92.08 eV for the cell shown


No. 4
# La2TlCu2, relaxed, DFT PBE
data_La2TlCu2
_chemical_formula_sum 'La4 Tl2 Cu4'
_space_group_name_H-M_alt 'I 4/m m m'
_space_group_IT_number 139
_space_group_name_Hall '-I 4 2'
_cell_length_a 5.6979
_cell_length_b 5.6979
_cell_length_c 8.1578
_cell_angle_alpha 90.00
_cell_angle_beta 90.00
_cell_angle_gamma 90.00
loop_
_atom_site_label
_atom_site_type_symbol
_atom_site_fract_x
_atom_site_fract_y
_atom_site_fract_z
_atom_site_occupancy
La1 La 0.0000 0.5000 0.2500 1
Tl1 Tl 0.0000 0.0000 0.0000 1
Cu1 Cu 0.0000 0.0000 0.3597 1
# Crystal system ... tetragonal
# Raw total energy ... -41.87 eV for the cell shown


No. 5
# La5Tl2Cu2, relaxed, DFT PBE
data_La5Tl2Cu2
_chemical_formula_sum 'La20 Tl8 Cu8'
_space_group_name_H-M_alt 'C m c e'
_space_group_IT_number 64
_space_group_name_Hall '-C 2ac 2'
_cell_length_a 16.7350
_cell_length_b 8.8818
_cell_length_c 7.3721
_cell_angle_alpha 90.00
_cell_angle_beta 90.00
_cell_angle_gamma 90.00
loop_
_atom_site_label
_atom_site_type_symbol
_atom_site_fract_x
_atom_site_fract_y
_atom_site_fract_z
_atom_site_occupancy
La1 La 0.0000 0.0000 0.0000 1
La2 La 0.1254 0.1839 0.3464 1
Tl1 Tl 0.2144 0.0000 0.0000 1
Cu1 Cu 0.0000 0.1087 0.6228 1
# Crystal system ... orthorhombic
# Raw total energy ... -157.25 eV for the cell shown


No. 6
# LaTlCu, relaxed, DFT PBE
data_LaTlCu
_chemical_formula_sum 'La2 Tl2 Cu2'
_space_group_name_H-M_alt 'I 4 m m'
_space_group_IT_number 107
_space_group_name_Hall 'I 4 -2'
_cell_length_a 3.5374
_cell_length_b 3.5374
_cell_length_c 11.7798
_cell_angle_alpha 90.00
_cell_angle_beta 90.00
_cell_angle_gamma 90.00
loop_
_atom_site_label
_atom_site_type_symbol
_atom_site_fract_x
_atom_site_fract_y
_atom_site_fract_z
_atom_site_occupancy
La1 La 0.0000 0.0000 0.0000 1
Tl1 Tl 0.0000 0.0000 0.7084 1
Cu1 Cu 0.0000 0.0000 0.3388 1
# Crystal system ... tetragonal
# Raw total energy ... -23.42 eV for the cell shown


No. 7
# LaTl2Cu, relaxed, DFT PBE
data_LaTl2Cu
_chemical_formula_sum 'La1 Tl2 Cu1'
_space_group_name_H-M_alt 'P 1 2/m 1'
_space_group_IT_number 10
_space_group_name_Hall '-P 2y'
_cell_length_a 4.6973
_cell_length_b 4.5967
_cell_length_c 4.8500
_cell_angle_alpha 90.00
_cell_angle_beta 90.17
_cell_angle_gamma 90.00
loop_
_atom_site_label
_atom_site_type_symbol
_atom_site_fract_x
_atom_site_fract_y
_atom_site_fract_z
_atom_site_occupancy
La1 La 0.0000 0.0000 0.0000 1
Tl1 Tl 0.0000 0.5000 0.5000 1
Tl2 Tl 0.5000 0.0000 0.5000 1
Cu1 Cu 0.5000 0.5000 0.0000 1
# Crystal system ... monoclinic
# Raw total energy ... -14.14 eV for the cell shown


No. 8
# La6Tl5Cu, relaxed, DFT PBE
data_La6Tl5Cu
_chemical_formula_sum 'La6 Tl5 Cu1'
_space_group_name_H-M_alt 'P 1 2/m 1'
_space_group_IT_number 10
_space_group_name_Hall '-P 2y'
_cell_length_a 5.5927
_cell_length_b 7.8670
_cell_length_c 8.8458
_cell_angle_alpha 90.00
_cell_angle_beta 108.27
_cell_angle_gamma 90.00
loop_
_atom_site_label
_atom_site_type_symbol
_atom_site_fract_x
_atom_site_fract_y
_atom_site_fract_z
_atom_site_occupancy
La1 La 0.0000 0.2366 0.0000 1
La2 La 0.3399 0.2417 0.6797 1
Tl1 Tl 0.1671 0.0000 0.3349 1
Tl2 Tl 0.1695 0.5000 0.3393 1
Tl3 Tl 0.5000 0.5000 0.0000 1
Cu1 Cu 0.5000 0.0000 0.0000 1
# Crystal system ... monoclinic
# Raw total energy ... -49.70 eV for the cell shown


No. 9
# LaTlCu, relaxed, DFT PBE
data_LaTlCu
_chemical_formula_sum 'La4 Tl4 Cu4'
_space_group_name_H-M_alt 'F -4 3 m'
_space_group_IT_number 216
_space_group_name_Hall 'F -4 2 3'
_cell_length_a 7.0456
_cell_length_b 7.0456
_cell_length_c 7.0456
_cell_angle_alpha 90.00
_cell_angle_beta 90.00
_cell_angle_gamma 90.00
loop_
_atom_site_label
_atom_site_type_symbol
_atom_site_fract_x
_atom_site_fract_y
_atom_site_fract_z
_atom_site_occupancy
La1 La 0.0000 0.0000 0.0000 1
Tl1 Tl 0.2500 0.2500 0.2500 1
Cu1 Cu 0.0000 0.0000 0.5000 1
# Crystal system ... cubic
# Raw total energy ... -44.08 eV for the cell shown


No. 10
# La6TlCu, relaxed, DFT PBE
data_La6TlCu
_chemical_formula_sum 'La12 Tl2 Cu2'
_space_group_name_H-M_alt 'I 4/m m m'
_space_group_IT_number 139
_space_group_name_Hall '-I 4 2'
_cell_length_a 5.4121
_cell_length_b 5.4121
_cell_length_c 17.8323
_cell_angle_alpha 90.00
_cell_angle_beta 90.00
_cell_angle_gamma 90.00
loop_
_atom_site_label
_atom_site_type_symbol
_atom_site_fract_x
_atom_site_fract_y
_atom_site_fract_z
_atom_site_occupancy
La1 La 0.0000 0.0000 0.2478 1
La2 La 0.0000 0.5000 0.1075 1
Tl1 Tl 0.0000 0.0000 0.0000 1
Cu1 Cu 0.0000 0.0000 0.5000 1
# Crystal system ... tetragonal
# Raw total energy ... -73.73 eV for the cell shown


No. 11
# LaTl2Cu, relaxed, DFT PBE
data_LaTl2Cu
_chemical_formula_sum 'La4 Tl8 Cu4'
_space_group_name_H-M_alt 'F m -3 m'
_space_group_IT_number 225
_space_group_name_Hall '-F 4 2 3'
_cell_length_a 7.4204
_cell_length_b 7.4204
_cell_length_c 7.4204
_cell_angle_alpha 90.00
_cell_angle_beta 90.00
_cell_angle_gamma 90.00
loop_
_atom_site_label
_atom_site_type_symbol
_atom_site_fract_x
_atom_site_fract_y
_atom_site_fract_z
_atom_site_occupancy
La1 La 0.0000 0.0000 0.0000 1
Tl1 Tl 0.2500 0.2500 0.2500 1
Cu1 Cu 0.0000 0.0000 0.5000 1
# Crystal system ... cubic
# Raw total energy ... -56.18 eV for the cell shown


No. 12
# La5TlCu2, relaxed, DFT PBE
data_La5TlCu2
_chemical_formula_sum 'La20 Tl4 Cu8'
_space_group_name_H-M_alt 'I 4/m c m'
_space_group_IT_number 140
_space_group_name_Hall '-I 4 2c'
_cell_length_a 8.3806
_cell_length_b 8.3806
_cell_length_c 13.4982
_cell_angle_alpha 90.00
_cell_angle_beta 90.00
_cell_angle_gamma 90.00
loop_
_atom_site_label
_atom_site_type_symbol
_atom_site_fract_x
_atom_site_fract_y
_atom_site_fract_z
_atom_site_occupancy
La1 La 0.0000 0.0000 0.0000 1
La2 La 0.1545 0.3455 0.1422 1
Tl1 Tl 0.0000 0.0000 0.2500 1
Cu1 Cu 0.1292 0.3708 0.5000 1
# Crystal system ... tetragonal
# Raw total energy ... -146.75 eV for the cell shown


No. 13
# La4TlCu, relaxed, DFT PBE
data_La4TlCu
_chemical_formula_sum 'La16 Tl4 Cu4'
_space_group_name_H-M_alt 'F -4 3 m'
_space_group_IT_number 216
_space_group_name_Hall 'F -4 2 3'
_cell_length_a 9.1553
_cell_length_b 9.1553
_cell_length_c 9.1553
_cell_angle_alpha 90.00
_cell_angle_beta 90.00
_cell_angle_gamma 90.00
loop_
_atom_site_label
_atom_site_type_symbol
_atom_site_fract_x
_atom_site_fract_y
_atom_site_fract_z
_atom_site_occupancy
La1 La 0.1240 0.1240 0.1240 1
Tl1 Tl 0.2500 0.2500 0.7500 1
Cu1 Cu 0.0000 0.0000 0.5000 1
# Crystal system ... cubic
# Raw total energy ... -95.67 eV for the cell shown


No. 14
# LaTl2Cu, relaxed, DFT PBE
data_LaTl2Cu
_chemical_formula_sum 'La1 Tl2 Cu1'
_space_group_name_H-M_alt 'P 1 2/m 1'
_space_group_IT_number 10
_space_group_name_Hall '-P 2y'
_cell_length_a 3.9649
_cell_length_b 4.7133
_cell_length_c 5.8394
_cell_angle_alpha 90.00
_cell_angle_beta 102.13
_cell_angle_gamma 90.00
loop_
_atom_site_label
_atom_site_type_symbol
_atom_site_fract_x
_atom_site_fract_y
_atom_site_fract_z
_atom_site_occupancy
La1 La 0.0000 0.0000 0.0000 1
Tl1 Tl 0.3361 0.5000 0.7150 1
Cu1 Cu 0.5000 0.0000 0.5000 1
# Crystal system ... monoclinic
# Raw total energy ... -14.09 eV for the cell shown


No. 15
# La6Tl3Cu, relaxed, DFT PBE
data_La6Tl3Cu
_chemical_formula_sum 'La12 Tl6 Cu2'
_space_group_name_H-M_alt 'P n n m'
_space_group_IT_number 58
_space_group_name_Hall '-P 2 2n'
_cell_length_a 9.6837
_cell_length_b 11.6852
_cell_length_c 5.6632
_cell_angle_alpha 90.00
_cell_angle_beta 90.00
_cell_angle_gamma 90.00
loop_
_atom_site_label
_atom_site_type_symbol
_atom_site_fract_x
_atom_site_fract_y
_atom_site_fract_z
_atom_site_occupancy
La1 La 0.9998 0.2334 0.0000 1
La2 La 0.1591 0.0558 0.5000 1
La3 La 0.1736 0.4537 0.5000 1
Tl1 Tl 0.0000 0.5000 0.0000 1
Tl2 Tl 0.1660 0.7552 0.5000 1
Cu1 Cu 0.0000 0.0000 0.0000 1
# Crystal system ... orthorhombic
# Raw total energy ... -86.53 eV for the cell shown


No. 16
# La4Tl3Cu, relaxed, DFT PBE
data_La4Tl3Cu
_chemical_formula_sum 'La4 Tl3 Cu1'
_space_group_name_H-M_alt 'P 4/m m m'
_space_group_IT_number 123
_space_group_name_Hall '-P 4 2'
_cell_length_a 3.7545
_cell_length_b 3.7545
_cell_length_c 16.8677
_cell_angle_alpha 90.00
_cell_angle_beta 90.00
_cell_angle_gamma 90.00
loop_
_atom_site_label
_atom_site_type_symbol
_atom_site_fract_x
_atom_site_fract_y
_atom_site_fract_z
_atom_site_occupancy
La1 La 0.0000 0.0000 0.1022 1
La2 La 0.0000 0.0000 0.3675 1
Tl1 Tl 0.5000 0.5000 0.2345 1
Tl2 Tl 0.5000 0.5000 0.5000 1
Cu1 Cu 0.5000 0.5000 0.0000 1
# Crystal system ... tetragonal
# Raw total energy ... -33.73 eV for the cell shown


No. 17
# La8Tl2Cu, relaxed, DFT PBE
data_La8Tl2Cu
_chemical_formula_sum 'La16 Tl4 Cu2'
_space_group_name_H-M_alt 'C 1 2/m 1'
_space_group_IT_number 12
_space_group_name_Hall '-C 2y'
_cell_length_a 19.7655
_cell_length_b 5.3869
_cell_length_c 7.0138
_cell_angle_alpha 90.00
_cell_angle_beta 107.39
_cell_angle_gamma 90.00
loop_
_atom_site_label
_atom_site_type_symbol
_atom_site_fract_x
_atom_site_fract_y
_atom_site_fract_z
_atom_site_occupancy
La1 La 0.0095 0.0000 0.2811 1
La2 La 0.0877 0.5000 0.9502 1
La3 La 0.1521 0.5000 0.4814 1
La4 La 0.2100 0.0000 0.7942 1
Tl1 Tl 0.1753 0.0000 0.2294 1
Cu1 Cu 0.0000 0.5000 0.5000 1
# Crystal system ... monoclinic
# Raw total energy ... -100.46 eV for the cell shown


No. 18
# La3TlCu, relaxed, DFT PBE
data_La3TlCu
_chemical_formula_sum 'La6 Tl2 Cu2'
_space_group_name_H-M_alt 'P 1'
_space_group_IT_number 1
_space_group_name_Hall 'P 1'
_cell_length_a 3.9534
_cell_length_b 8.8288
_cell_length_c 9.1299
_cell_angle_alpha 91.16
_cell_angle_beta 90.05
_cell_angle_gamma 102.90
loop_
_atom_site_label
_atom_site_type_symbol
_atom_site_fract_x
_atom_site_fract_y
_atom_site_fract_z
_atom_site_occupancy
La1 La 0.0000 0.0000 0.0000 1
La2 La 0.0878 0.1762 0.4196 1
La3 La 0.2948 0.5918 0.0105 1
La4 La 0.4391 0.8826 0.6635 1
La5 La 0.6471 0.2915 0.7562 1
La6 La 0.7927 0.5843 0.4094 1
Tl1 Tl 0.4370 0.8725 0.2850 1
Tl2 Tl 0.6509 0.3037 0.1347 1
Cu1 Cu 0.2584 0.5162 0.6500 1
Cu2 Cu 0.8275 0.6576 0.7696 1
# Crystal system ... triclinic
# Raw total energy ... -44.50 eV for the cell shown


No. 19
# LaTlCu3, relaxed, DFT PBE
data_LaTlCu3
_chemical_formula_sum 'La1 Tl1 Cu3'
_space_group_name_H-M_alt 'P m -3 m'
_space_group_IT_number 221
_space_group_name_Hall '-P 4 2 3'
_cell_length_a 5.3987
_cell_length_b 5.3987
_cell_length_c 5.3987
_cell_angle_alpha 90.00
_cell_angle_beta 90.00
_cell_angle_gamma 90.00
loop_
_atom_site_label
_atom_site_type_symbol
_atom_site_fract_x
_atom_site_fract_y
_atom_site_fract_z
_atom_site_occupancy
La1 La 0.0000 0.0000 0.0000 1
Tl1 Tl 0.5000 0.5000 0.5000 1
Cu1 Cu 0.0000 0.0000 0.5000 1
# Crystal system ... cubic
# Raw total energy ... -15.04 eV for the cell shown


No. 20
# LaTlCu, relaxed, DFT PBE
data_LaTlCu
_chemical_formula_sum 'La4 Tl4 Cu4'
_space_group_name_H-M_alt 'F -4 3 m'
_space_group_IT_number 216
_space_group_name_Hall 'F -4 2 3'
_cell_length_a 6.8390
_cell_length_b 6.8390
_cell_length_c 6.8390
_cell_angle_alpha 90.00
_cell_angle_beta 90.00
_cell_angle_gamma 90.00
loop_
_atom_site_label
_atom_site_type_symbol
_atom_site_fract_x
_atom_site_fract_y
_atom_site_fract_z
_atom_site_occupancy
La1 La 0.0000 0.0000 0.0000 1
Tl1 Tl 0.0000 0.0000 0.5000 1
Cu1 Cu 0.2500 0.2500 0.7500 1
# Crystal system ... cubic
# Raw total energy ... -48.38 eV for the cell shown